# BeHg

A geometry-optimized BeHg structure (GGA-PBE, the Alexandria database).

Computed properties:
SG = R-3m
energy relative to the lowest polymorph listed for this composition = 0.187 eV per atom
total DFT energy (no corrections) = -6.13 eV per cell
crystal system = trigonal

```
4
Lattice="2.165 1.250 4.333 -2.165 1.250 4.333 0.000 -2.500 4.333" Properties=species:S:1:pos:R:3 pbc="T T T"
Be 0.000 0.000 1.110
Be 0.000 0.000 11.889
Hg 0.000 0.000 3.522
Hg 0.000 0.000 9.478
```